Here is Rb2NaCd2Cl7 after structural relaxation from Alexandria. Energies are from PBE.

Its formation energy from raw total energies is -17.3 eV per formula unit. Its space group is No. 12. As for the size of the total moment: 0.00 μB per cell. As for the crystal system: monoclinic. The calculated volume is 30.6 Å³ per atom.

a b c (Å): 5.2700 5.2700 13.7400
angles (deg): 101.04 101.04 90.00
Fractional coordinates of all 12 atoms:
Rb 0.1788 0.1788 0.3572
Rb 0.8212 0.8212 0.6428
Na 0.0000 0.0000 0.0000
Cd 0.4000 0.4000 0.8015
Cd 0.6000 0.6000 0.1985
Cl 0.0927 0.5929 0.1842
Cl 0.3031 0.3031 0.6066
Cl 0.4071 0.9073 0.8158
Cl 0.5000 0.5000 0.0000
Cl 0.5929 0.0927 0.1842
Cl 0.6969 0.6969 0.3934
Cl 0.9073 0.4071 0.8158


Here is Na2CdRhCl8 after structural relaxation from Alexandria. Energies are from PBE.

Its formation energy from raw total energies is -12.2 eV per formula unit. Its space group is No. 10. As for the size of the total moment: 1.08 μB per cell. As for the crystal system: monoclinic. The calculated volume is 25.8 Å³ per atom.

a b c (Å): 6.0855 8.0669 6.3144
angles (deg): 90.00 94.54 90.00
Fractional coordinates of all 12 atoms:
Na 0.0000 0.2469 0.0000
Na 0.0000 0.7531 0.0000
Cd 0.5000 0.5000 0.5000
Rh 0.5000 0.0000 0.5000
Cl 0.2458 0.5000 0.1746
Cl 0.2802 0.2103 0.6326
Cl 0.2802 0.7897 0.6326
Cl 0.2815 0.0000 0.1787
Cl 0.7185 0.0000 0.8213
Cl 0.7198 0.2103 0.3674
Cl 0.7198 0.7897 0.3674
Cl 0.7542 0.5000 0.8254


Here is NaCdRhCl6 after structural relaxation from Alexandria. Energies are from PBE.

Its formation energy from raw total energies is -9.2 eV per formula unit. Its space group is No. 163. As for the size of the total moment: 0.00 μB per cell. As for the crystal system: trigonal. The calculated volume is 25.1 Å³ per atom.

a b c (Å): 6.5590 6.5590 12.1188
angles (deg): 90.00 90.00 120.00
Fractional coordinates of all 18 atoms:
Na 0.0000 0.0000 0.0000
Na 0.0000 0.0000 0.5000
Cd 0.3333 0.6667 0.2500
Cd 0.6667 0.3333 0.7500
Rh 0.3333 0.6667 0.7500
Rh 0.6667 0.3333 0.2500
Cl 0.0341 0.3783 0.6365
Cl 0.0341 0.6558 0.8635
Cl 0.3442 0.3783 0.8635
Cl 0.3442 0.9659 0.6365
Cl 0.3783 0.0341 0.1365
Cl 0.3783 0.3442 0.3635
Cl 0.6217 0.6558 0.6365
Cl 0.6217 0.9659 0.8635
Cl 0.6558 0.0341 0.3635
Cl 0.6558 0.6217 0.1365
Cl 0.9659 0.3442 0.1365
Cl 0.9659 0.6217 0.3635


Here is NaCdRuCl6 after structural relaxation from Alexandria. Energies are from PBE.

Its formation energy from raw total energies is -8.2 eV per formula unit. Its space group is No. 163. As for the size of the total moment: 2.04 μB per cell. As for the crystal system: trigonal. The calculated volume is 23.4 Å³ per atom.

a b c (Å): 6.5767 6.5767 11.2484
angles (deg): 90.00 90.00 120.00
Fractional coordinates of all 18 atoms:
Na 0.3333 0.6667 0.2500
Na 0.6667 0.3333 0.7500
Cd 0.0000 0.0000 0.0000
Cd 0.0000 0.0000 0.5000
Ru 0.3333 0.6667 0.7500
Ru 0.6667 0.3333 0.2500
Cl 0.0389 0.3702 0.6266
Cl 0.0389 0.6687 0.8734
Cl 0.3313 0.3702 0.8734
Cl 0.3313 0.9611 0.6266
Cl 0.3702 0.0389 0.1266
Cl 0.3702 0.3313 0.3734
Cl 0.6298 0.6687 0.6266
Cl 0.6298 0.9611 0.8734
Cl 0.6687 0.0389 0.3734
Cl 0.6687 0.6298 0.1266
Cl 0.9611 0.3313 0.1266
Cl 0.9611 0.6298 0.3734